(1)
DFT (PBE) results for a relaxed structure of CaCe2FeN4.

Output
Calculated density (g/cm3): 5.975
Formation energy from raw total energies (eV per formula unit): -7.7

```
data_CaCe2FeN4
_symmetry_space_group_name_H-M 'P 1'
_symmetry_Int_Tables_number 1
_symmetry_space_group_name_Hall 'P 1'
_cell_length_a 3.5012
_cell_length_b 6.0175
_cell_length_c 11.9172
_cell_angle_alpha 90.00
_cell_angle_beta 90.00
_cell_angle_gamma 106.91
loop_
_atom_site_label
_atom_site_type_symbol
_atom_site_fract_x
_atom_site_fract_y
_atom_site_fract_z
_atom_site_occupancy
N1 N 0.7421 0.4842 0.6215 1
N2 N 0.0000 0.0000 0.0000 1
N3 N 0.5904 0.1807 0.2500 1
N4 N 0.2579 0.5158 0.3785 1
N5 N 0.7421 0.4842 0.8785 1
N6 N 0.0000 0.0000 0.5000 1
N7 N 0.2579 0.5158 0.1215 1
N8 N 0.4096 0.8193 0.7500 1
Fe1 Fe 0.1700 0.3401 0.2500 1
Fe2 Fe 0.8300 0.6599 0.7500 1
Ce1 Ce 0.6328 0.2655 0.4490 1
Ce2 Ce 0.6328 0.2655 0.0510 1
Ce3 Ce 0.3672 0.7345 0.5510 1
Ce4 Ce 0.3672 0.7345 0.9490 1
Ca1 Ca 0.1011 0.2021 0.7500 1
Ca2 Ca 0.8989 0.7979 0.2500 1
```



(2)
DFT (PBE) results for a relaxed structure of PuMgCuNi.

Output
Calculated density (g/cm3): 9.008
Energy of formation (meV/atom): 28.0

```
data_PuMgCuNi
_symmetry_space_group_name_H-M 'P 1'
_symmetry_Int_Tables_number 1
_symmetry_space_group_name_Hall 'P 1'
_cell_length_a 4.6694
_cell_length_b 4.6694
_cell_length_c 4.6694
_cell_angle_alpha 60.00
_cell_angle_beta 60.00
_cell_angle_gamma 60.00
loop_
_atom_site_label
_atom_site_type_symbol
_atom_site_fract_x
_atom_site_fract_y
_atom_site_fract_z
_atom_site_occupancy
Mg1 Mg 0.0000 0.0000 0.0000 1
Ni1 Ni 0.7500 0.7500 0.7500 1
Cu1 Cu 0.2500 0.2500 0.2500 1
Pu1 Pu 0.5000 0.5000 0.5000 1
```



(3)
DFT (PBE) results for a relaxed structure of Pm2HoUSb4.

Output
Calculated density (g/cm3): 7.958
Formation energy from raw total energies (eV per formula unit): -7.3

```
data_Pm2HoUSb4
_symmetry_space_group_name_H-M 'P 1'
_symmetry_Int_Tables_number 1
_symmetry_space_group_name_Hall 'P 1'
_cell_length_a 4.4102
_cell_length_b 7.7052
_cell_length_c 7.6670
_cell_angle_alpha 109.08
_cell_angle_beta 90.00
_cell_angle_gamma 90.00
loop_
_atom_site_label
_atom_site_type_symbol
_atom_site_fract_x
_atom_site_fract_y
_atom_site_fract_z
_atom_site_occupancy
Ho1 Ho 0.0000 0.0000 0.0000 1
U1 U 0.5000 0.5000 0.0000 1
Sb1 Sb 0.0000 0.2513 0.7572 1
Sb2 Sb 0.5000 0.2478 0.2407 1
Sb3 Sb 0.0000 0.7487 0.2428 1
Sb4 Sb 0.5000 0.7522 0.7593 1
Pm1 Pm 0.0000 0.5000 0.5000 1
Pm2 Pm 0.5000 0.0000 0.5000 1
```



(4)
DFT (PBE) results for a relaxed structure of ErFeGe3Ru.

Output
Calculated density (g/cm3): 7.508
Energy of formation (meV/atom): -156.5

```
data_ErFeGe3Ru
_symmetry_space_group_name_H-M 'P 1'
_symmetry_Int_Tables_number 1
_symmetry_space_group_name_Hall 'P 1'
_cell_length_a 5.4703
_cell_length_b 7.6713
_cell_length_c 6.8819
_cell_angle_alpha 123.87
_cell_angle_beta 90.00
_cell_angle_gamma 90.00
loop_
_atom_site_label
_atom_site_type_symbol
_atom_site_fract_x
_atom_site_fract_y
_atom_site_fract_z
_atom_site_occupancy
Ge1 Ge 0.7500 0.7695 0.5390 1
Ge2 Ge 0.2500 0.2305 0.4610 1
Ge3 Ge 0.5000 0.7576 0.0000 1
Ge4 Ge 0.0000 0.7576 0.0000 1
Ge5 Ge 0.0000 0.2424 0.0000 1
Ge6 Ge 0.5000 0.2424 0.0000 1
Ru1 Ru 0.7500 0.5657 0.1315 1
Ru2 Ru 0.2500 0.4343 0.8685 1
Er1 Er 0.2500 0.6954 0.3907 1
Er2 Er 0.7500 0.3046 0.6093 1
Fe1 Fe 0.2500 0.0411 0.0822 1
Fe2 Fe 0.7500 0.9589 0.9178 1
```